Run w
The following is a DFT calculation (GGA+U) of a geometry-optimized LaNiIO2 structure.

SG: No. 123

a b c (Å): 4.3591 4.3591 4.7833
angles (deg): 90.00 90.00 90.00
Last column: nearest neighbours and their distance in Å.
Positions (direct):
La 0.5000 0.5000 0.5000  4 I 3.08, 8 O 3.24
Ni 0.0000 0.0000 0.0000  4 O 2.18, 2 I 2.39
O 0.0000 0.5000 0.0000  2 Ni 2.18
O 0.5000 0.0000 0.0000  2 Ni 2.18
I 0.0000 0.0000 0.5000  2 Ni 2.39

=====

Run x
The following is a DFT calculation (GGA+U) of a geometry-optimized LaNiIO2 structure.

SG: No. 123

a b c (Å): 4.3121 4.3121 7.0818
angles (deg): 90.00 90.00 90.00
Last column: nearest neighbours and their distance in Å.
Positions (direct):
O 0.5000 0.0000 0.0000  2 La 2.16
O 0.0000 0.5000 0.0000  2 La 2.16
La 0.0000 0.0000 0.0000  4 O 2.16
I 0.0000 0.0000 0.5000  4 Ni 3.05
Ni 0.5000 0.5000 0.5000  4 I 3.05

=====

The structure with the least stability is run w.